Entry 1:
# B5C | Alexandria | PBE | optimized geometry
# offset from the most stable computed form: 0.376 eV/atom
# calculated volume: 9.483 Å³/atom
# formation energy: 55.23 kJ/mol of atoms
# DFT total energy: -6.529 eV per atom
data_B5C
_cell_length_a 2.7706
_cell_length_b 2.7706
_cell_length_c 8.5587
_cell_angle_alpha 90.00
_cell_angle_beta 90.00
_cell_angle_gamma 120.00
_space_group_name_H-M_alt 'P 1'
_space_group_IT_number 1
loop_
_space_group_symop_operation_xyz
'x,y,z'
loop_
_atom_site_label
_atom_site_fract_x
_atom_site_fract_y
_atom_site_fract_z
B1 0.0000 0.0000 0.1119
B2 0.6667 0.3333 0.6218
B3 0.0000 0.0000 0.6559
B4 0.6667 0.3333 0.4270
B5 0.3333 0.6667 0.3080
C1 0.3333 0.6667 0.1253

Entry 2:
# Gd3Ge5Te12 | Alexandria | PBE | optimized geometry
# calculated volume: 32.943 Å³/atom
# energy relative to the elements, uncorrected: -0.5118 eV per atom
# DFT total energy: -5.663 eV per atom
data_Gd3Ge5Te12
_cell_length_a 15.0716
_cell_length_b 15.0716
_cell_length_c 15.0716
_cell_angle_alpha 109.47
_cell_angle_beta 109.47
_cell_angle_gamma 109.47
_space_group_name_H-M_alt 'P 1'
_space_group_IT_number 1
loop_
_space_group_symop_operation_xyz
'x,y,z'
loop_
_atom_site_label
_atom_site_fract_x
_atom_site_fract_y
_atom_site_fract_z
Gd1 0.1250 0.2500 0.8750
Gd2 0.2500 0.1250 0.3750
Gd3 0.3750 0.6250 0.2500
Gd4 0.3750 0.7500 0.6250
Gd5 0.7500 0.3750 0.1250
Gd6 0.8750 0.1250 0.2500
Gd7 0.8750 0.7500 0.1250
Gd8 0.6250 0.2500 0.3750
Gd9 0.7500 0.8750 0.6250
Gd10 0.1250 0.8750 0.7500
Gd11 0.6250 0.3750 0.7500
Gd12 0.2500 0.6250 0.8750
Te1 0.2169 0.6748 0.0858
Te2 0.6748 0.2169 0.5858
Te3 0.7169 0.5858 0.1748
Te4 0.6311 0.0421 0.2169
Te5 0.2169 0.5421 0.6311
Te6 0.7831 0.3252 0.9142
Te7 0.9110 0.0858 0.8689
Te8 0.9579 0.3689 0.2831
Te9 0.5421 0.2169 0.1311
Te10 0.6748 0.4579 0.5890
Te11 0.1748 0.0858 0.7169
Te12 0.6311 0.5890 0.9142
Te13 0.3689 0.9579 0.7831
Te14 0.0421 0.6311 0.7169
Te15 0.5421 0.3252 0.9110
Te16 0.1748 0.0890 0.9579
Te17 0.4142 0.2831 0.3252
Te18 0.9579 0.5890 0.1748
Te19 0.0890 0.1748 0.4579
Te20 0.5890 0.9579 0.6748
Te21 0.4579 0.7831 0.8689
Te22 0.3252 0.7831 0.4142
Te23 0.7169 0.1311 0.0421
Te24 0.4110 0.3689 0.5858
Te25 0.4110 0.0421 0.3252
Te26 0.8252 0.9110 0.0421
Te27 0.0421 0.4110 0.8252
Te28 0.8689 0.5858 0.9110
Te29 0.9142 0.8252 0.7831
Te30 0.0890 0.9142 0.1311
Te31 0.2831 0.4142 0.8252
Te32 0.1311 0.7169 0.5421
Te33 0.9142 0.0890 0.6311
Te34 0.4579 0.6748 0.0890
Te35 0.7831 0.4579 0.3689
Te36 0.2831 0.8689 0.9579
Te37 0.3689 0.4110 0.0858
Te38 0.8689 0.2831 0.4579
Te39 0.0858 0.9110 0.3689
Te40 0.3252 0.5421 0.4110
Te41 0.4142 0.1311 0.5890
Te42 0.5858 0.8689 0.4110
Te43 0.5890 0.6311 0.4142
Te44 0.5858 0.7169 0.6748
Te45 0.9110 0.8252 0.5421
Te46 0.1311 0.4142 0.0890
Te47 0.0858 0.1748 0.2169
Te48 0.8252 0.9142 0.2831
Ge1 0.5000 0.0000 0.5000
Ge2 0.0000 0.0000 0.0000
Ge3 0.8750 0.6250 0.7500
Ge4 0.1250 0.7500 0.3750
Ge5 0.0000 0.0000 0.5000
Ge6 0.3750 0.1250 0.7500
Ge7 0.5000 0.5000 0.5000
Ge8 0.6250 0.8750 0.2500
Ge9 0.8750 0.2500 0.6250
Ge10 0.3750 0.2500 0.1250
Ge11 0.6250 0.7500 0.8750
Ge12 0.5000 0.5000 0.0000
Ge13 0.2500 0.8750 0.1250
Ge14 0.7500 0.6250 0.3750
Ge15 0.1250 0.3750 0.2500
Ge16 0.0000 0.5000 0.0000
Ge17 0.0000 0.5000 0.5000
Ge18 0.5000 0.0000 0.0000
Ge19 0.7500 0.1250 0.8750
Ge20 0.2500 0.3750 0.6250

Entry 3:
# CrTe2Ru | Alexandria | PBE | optimized geometry
# offset from the most stable computed form: 0.271 eV/atom
# calculated volume: 21.575 Å³/atom
# energy relative to the elements, uncorrected: 0.2182 eV per atom
# DFT total energy: -6.077 eV per atom
data_CrTe2Ru
_cell_length_a 4.0456
_cell_length_b 4.0456
_cell_length_c 6.5234
_cell_angle_alpha 72.04
_cell_angle_beta 72.04
_cell_angle_gamma 59.87
_space_group_name_H-M_alt 'P 1'
_space_group_IT_number 1
loop_
_space_group_symop_operation_xyz
'x,y,z'
loop_
_atom_site_label
_atom_site_fract_x
_atom_site_fract_y
_atom_site_fract_z
Te1 0.4927 0.4927 0.5220
Te2 0.0073 0.0073 0.9780
Ru1 0.7500 0.7500 0.7500
Cr1 0.2500 0.2500 0.2500

Entry 4:
# Ca2AlBPt | Alexandria | PBE | optimized geometry
# calculated volume: 28.138 Å³/atom
# formation energy: 33.16 kJ/mol of atoms
# DFT total energy: -3.749 eV per atom
data_Ca2AlBPt
_cell_length_a 5.4741
_cell_length_b 4.6950
_cell_length_c 5.4741
_cell_angle_alpha 90.00
_cell_angle_beta 90.00
_cell_angle_gamma 90.00
_space_group_name_H-M_alt 'P 1'
_space_group_IT_number 1
loop_
_space_group_symop_operation_xyz
'x,y,z'
loop_
_atom_site_label
_atom_site_fract_x
_atom_site_fract_y
_atom_site_fract_z
Al1 0.0000 0.5000 0.0000
B1 0.5000 0.5000 0.5000
Pt1 0.0000 0.0000 0.0000
Ca1 0.0000 0.0000 0.5000
Ca2 0.5000 0.0000 0.0000